# 1
The following is a DFT calculation (PBE) of a relaxed Dy4Sb2AsS crystal.

a b c (Å): 7.255 4.195 7.315
angles (deg): 90.00 109.28 90.00
Space group P2/m (No. 10)
Unique sites:
Dy 0.244 0.000 0.231 (multiplicity 2)
Dy 0.256 0.500 0.768 (multiplicity 2)
Sb 0.000 0.000 0.500 (multiplicity 1)
Sb 0.500 0.500 0.500 (multiplicity 1)
As 0.500 0.000 0.000 (multiplicity 1)
S 0.000 0.500 0.000 (multiplicity 1)

## Properties
The uncorrected formation energy comes out at -1.432 eV/atom. Its spin magnetization is 0.00 μB/atom. Its density is 7.906 Mg/m³.

***

# 2
The following is a DFT calculation (PBE) of a relaxed TiMnV4 crystal.

a b c (Å): 5.167 5.322 6.307
angles (deg): 90.00 90.00 90.00
Space group P222 (No. 16)
Unique sites:
Ti 0.000 0.000 0.000 (multiplicity 1)
Ti 0.500 0.500 0.000 (multiplicity 1)
Mn 0.000 0.000 0.500 (multiplicity 1)
Mn 0.500 0.000 0.000 (multiplicity 1)
V 0.176 0.336 0.304 (multiplicity 4)
V 0.352 0.199 0.676 (multiplicity 4)

## Properties
The calculation puts the energy of formation at 283 meV/atom. Its spin magnetization is 0.00 μB/atom. Its density is 5.871 Mg/m³.

***

# 3
The following is a DFT calculation (PBE) of a relaxed InIrPb2 crystal.

a b c (Å): 9.821 3.317 6.989
angles (deg): 90.00 111.83 90.00
Space group Cm (No. 8)
Unique sites:
In 0.000 0.000 0.000 (multiplicity 2)
Ir 0.222 0.500 0.997 (multiplicity 2)
Pb 0.182 0.000 0.653 (multiplicity 2)
Pb 0.362 0.000 0.348 (multiplicity 2)

## Properties
The calculation puts the energy of formation at 83 meV/atom. Its spin magnetization is 0.00 μB/atom. Its density is 11.336 Mg/m³.

***

# 4
The following is a DFT calculation (PBE) of a relaxed Sc2SeF crystal.

a b c (Å): 5.535 5.535 11.107
angles (deg): 90.00 90.00 90.00
Space group I-42d (No. 122)
Unique sites:
Sc 0.191 0.250 0.125 (multiplicity 8)
Se 0.000 0.000 0.500 (multiplicity 4)
F 0.000 0.000 0.000 (multiplicity 4)

## Properties
The uncorrected formation energy comes out at -1.603 eV/atom. Its spin magnetization is 0.00 μB/atom. Its density is 3.667 Mg/m³.

***

# 5
The following is a DFT calculation (PBE) of a relaxed CeZr2NbO8 crystal.

a b c (Å): 7.011 7.073 6.690
angles (deg): 90.00 90.00 90.00
Space group Cmmm (No. 65)
Unique sites:
Ce 0.000 0.000 0.000 (multiplicity 2)
Zr 0.000 0.500 0.255 (multiplicity 4)
Nb 0.000 0.000 0.500 (multiplicity 2)
O 0.000 0.297 0.500 (multiplicity 4)
O 0.000 0.320 0.000 (multiplicity 4)
O 0.199 0.000 0.280 (multiplicity 8)

## Properties
The uncorrected formation energy comes out at -3.086 eV/atom. Its spin magnetization is 0.09 μB/atom. Its density is 5.440 Mg/m³.

***

# 6
The following is a DFT calculation (PBE) of a relaxed ErThNi4 crystal.

a b c (Å): 7.238 7.238 7.238
angles (deg): 90.00 90.00 90.00
Space group F-43m (No. 216)
Unique sites:
Er 0.000 0.000 0.000 (multiplicity 4)
Th 0.250 0.250 0.250 (multiplicity 4)
Ni 0.126 0.126 0.626 (multiplicity 16)

## Properties
The calculation puts the energy of formation at -414 meV/atom. Its spin magnetization is 0.00 μB/atom. Its density is 11.106 Mg/m³.

***

# 7
The following is a DFT calculation (PBE) of a relaxed SrHf2Zr2 crystal.

a b c (Å): 8.942 8.942 3.346
angles (deg): 90.00 90.00 90.00
Space group P4/mbm (No. 127)
Unique sites:
Sr 0.000 0.000 0.000 (multiplicity 2)
Hf 0.120 0.380 0.000 (multiplicity 4)
Zr 0.168 0.668 0.500 (multiplicity 4)

## Properties
The calculation puts the energy of formation at 278 meV/atom. Its spin magnetization is 0.00 μB/atom. Its density is 7.782 Mg/m³.

***

# 8
The following is a DFT calculation (PBE) of a relaxed BSb2N crystal.

a b c (Å): 5.224 5.224 10.811
angles (deg): 90.00 90.00 90.00
Space group I-42d (No. 122)
Unique sites:
B 0.000 0.000 0.000 (multiplicity 4)
Sb 0.247 0.250 0.625 (multiplicity 8)
N 0.000 0.000 0.500 (multiplicity 4)

## Properties
The uncorrected formation energy comes out at 0.734 eV/atom. Its spin magnetization is 0.00 μB/atom. Its density is 6.042 Mg/m³.

***

Question: Look up the spin magnetization of the first one.
Answer: 0.00 μB/atom